# 1
The following is a PBE-GGA calculation of Ac6Zn2Co after structural relaxation, from the Alexandria database.

Cell: 7.350 7.925 12.974 Å, 90.00 121.73 90.00°
Space group P2_1/c (No. 14)
One atom of each set of equivalent atoms:
Ac 0.122 0.027 0.249 [4 per cell]
Ac 0.235 0.688 0.057 [4 per cell]
Ac 0.361 0.191 0.054 [4 per cell]
Zn 0.313 0.097 0.761 [4 per cell]
Co 0.000 0.000 0.000 [2 per cell]

Results
calculated volume: 642.7 Å³/cell
size of the total moment: 0.00 μB/cell
formation energy: -0.76 eV/f.u.

=====

# 2
The following is a PBE-GGA calculation of Ac3Zn2Co after structural relaxation, from the Alexandria database.

Cell: 12.887 4.104 13.219 Å, 90.00 90.00 90.00°
Space group Pnma (No. 62)
One atom of each set of equivalent atoms:
Ac 0.046 0.250 0.131 [4 per cell]
Ac 0.120 0.750 0.550 [4 per cell]
Ac 0.228 0.250 0.795 [4 per cell]
Zn 0.027 0.750 0.320 [4 per cell]
Zn 0.193 0.750 0.987 [4 per cell]
Co 0.133 0.250 0.381 [4 per cell]

Results
calculated volume: 699.0 Å³/cell
size of the total moment: 0.00 μB/cell
formation energy: -0.95 eV/f.u.

=====

# 3
The following is a PBE-GGA calculation of AcZn3Co after structural relaxation, from the Alexandria database.

Cell: 4.691 4.691 4.691 Å, 90.00 90.00 90.00°
Space group Pm-3m (No. 221)
One atom of each set of equivalent atoms:
Ac 0.000 0.000 0.000 [1 per cell]
Zn 0.000 0.500 0.500 [3 per cell]
Co 0.500 0.500 0.500 [1 per cell]

Results
calculated volume: 103.3 Å³/cell
size of the total moment: 0.01 μB/cell
formation energy: -0.76 eV/f.u.

=====

# 4
The following is a PBE-GGA calculation of Ac2ZnCo after structural relaxation, from the Alexandria database.

Cell: 4.1707 4.1707 29.8225 Å, 90.00 90.00 120.00°
Space group R-3m (No. 166, hexagonal axes)
One atom of each set of equivalent atoms:
Ac 0.0000 0.0000 0.1146 [6 per cell]
Zn 0.0000 0.0000 0.0000 [3 per cell]
Co 0.0000 0.0000 0.5000 [3 per cell]

Results
calculated volume: 449.3 Å³/cell
size of the total moment: 0.00 μB/cell
formation energy: 0.84 eV/f.u.